Computed, not measured: a relaxed structure of Na7PaS6 at the PBE level of DFT.

## Properties
Calculated total energy ... -4.355 eV per atom
Raw formation energy ... -1.2484 eV/atom

POSCAR file:
```
Na7PaS6
1.0
-6.2848 4.6004 -1.2840
-4.5082 -1.1657 -6.3740
-7.2627 -2.9306 0.7849
Na Pa S
7 1 6
Cartesian
-9.3924 3.0963 -2.4844
-8.5065 0.1047 -0.8285
-11.6437 0.7529 -3.4821
-7.3260 2.1445 -4.9863
-6.0960 -0.4262 -3.1658
-9.7056 0.1873 -6.3803
-8.9076 -2.2967 -4.2013
-10.8126 3.4129 -7.6401
-10.9506 1.3130 -0.8613
-6.8290 2.0499 -2.0970
-10.2167 2.6264 -5.1131
-7.6832 -2.3662 -1.7660
-11.4717 -1.5508 -4.9305
-7.1237 -0.6795 -5.7534
```